No. 1
First-principles (GGA-PBE) data for a geometry-optimized Pr4Si2Cl5 structure, as listed in the Alexandria database.

* energy above the most stable polymorph in this dataset: 0 meV per atom
* raw formation energy: -147.82 kJ per mole of atoms
* space group: C2/m
* DFT total energy: -5.10 eV per atom

POSCAR file:
```
Pr4Si2Cl5
1.0
4.1683 0.0000 0.0000
0.0000 8.0288 1.6290
-2.0841 -0.1828 11.6042
Pr Si Cl
4 2 5
Cartesian
2.0841 2.0393 11.8155
2.0841 4.2252 4.6164
0.0000 5.8067 1.4177
0.0000 3.6209 8.6169
2.0841 3.6327 1.8990
0.0000 4.2133 11.3342
2.0841 5.2561 7.4870
0.0000 2.5899 5.7462
0.0000 6.1525 4.3341
2.0841 0.0000 0.0000
2.0841 1.6935 8.8991
```


No. 2
First-principles (GGA-PBE) data for a geometry-optimized LiBe4Os structure, as listed in the Alexandria database.

* E_form: -0.10 eV/atom
* space group: F-43m
* DFT total energy: -4.77 eV per atom

POSCAR file:
```
LiBe4Os
1.0
0.0000 3.0433 3.0433
3.0433 0.0000 3.0433
3.0433 3.0433 0.0000
Be Li Os
4 1 1
Cartesian
2.2720 3.8145 2.2720
3.8145 2.2720 2.2720
3.8145 3.8145 3.8145
2.2720 2.2720 3.8145
1.5216 1.5216 1.5216
0.0000 0.0000 0.0000
```


No. 3
First-principles (GGA-PBE) data for a geometry-optimized NaPt3O structure, as listed in the Alexandria database.

* energy above the most stable polymorph in this dataset: 0 meV per atom
* raw formation energy: 32.93 kJ per mole of atoms
* space group: Pm-3m
* DFT total energy: -4.54 eV per atom

POSCAR file:
```
NaPt3O
1.0
-2.1994 -3.7038 0.2318
1.1708 -0.9482 -4.0423
3.5216 -1.9980 1.4887
Pt Na O
3 1 1
Cartesian
1.7608 -0.9990 0.7443
0.5854 -0.4741 -2.0211
-1.0997 -1.8519 0.1159
1.2465 -3.3250 -1.1609
0.0000 0.0000 0.0000
```


No. 4
First-principles (GGA-PBE) data for a geometry-optimized LaSe2F structure, as listed in the Alexandria database.

* energy above the most stable polymorph in this dataset: 29 meV per atom
* raw formation energy: -209.96 kJ per mole of atoms
* space group: P-1
* DFT total energy: -5.62 eV per atom

POSCAR file:
```
LaSe2F
1.0
4.2361 0.0273 0.0027
2.0644 5.5100 -0.0089
2.0572 -0.6790 7.8252
Se La F
4 2 2
Cartesian
3.0990 -0.3904 5.2896
5.2586 5.2488 2.5294
2.1180 0.0137 0.0013
3.1502 2.7687 -0.0031
3.0835 2.7755 5.6327
5.2742 2.0829 2.1862
5.2303 2.0388 4.5829
3.1274 2.8196 3.2361
```


No. 5
First-principles (GGA-PBE) data for a geometry-optimized Sm2NbZn2Rh5 structure, as listed in the Alexandria database.

* E_form: -0.57 eV/atom
* space group: P4/mbm
* DFT total energy: -6.45 eV per atom

POSCAR file:
```
Sm2NbZn2Rh5
1.0
3.5589 0.0000 0.0000
0.0000 9.9122 0.0000
0.0000 0.0000 9.9122
Sm Rh Nb Zn
4 10 2 4
Cartesian
0.0000 8.2075 6.6608
0.0000 3.2514 8.2075
0.0000 1.7047 3.2514
0.0000 6.6608 1.7047
1.7795 4.9561 0.0000
1.7795 9.2681 1.9708
1.7795 1.9708 0.6441
1.7795 0.6441 7.9414
1.7795 2.9853 5.6002
1.7795 6.9269 4.3120
1.7795 7.9414 9.2681
1.7795 5.6002 6.9269
1.7795 0.0000 4.9561
1.7795 4.3120 2.9853
0.0000 0.0000 0.0000
0.0000 4.9561 4.9561
0.0000 3.7139 1.2422
0.0000 6.1983 8.6700
0.0000 1.2422 6.1983
0.0000 8.6700 3.7139
```


No. 6
First-principles (GGA-PBE) data for a geometry-optimized Sm2Cu3Ge4Ir structure, as listed in the Alexandria database.

* E_form: -0.54 eV/atom
* space group: P-4m2
* DFT total energy: -5.45 eV per atom

POSCAR file:
```
Sm2Cu3Ge4Ir
1.0
-2.9859 2.1900 -1.8903
-2.8757 -2.5432 1.5959
-0.7808 6.0689 8.2645
Ge Cu Ir Sm
4 3 1 2
Cartesian
-1.9877 4.9406 4.2917
-2.9308 -0.1766 -0.1472
-1.7239 0.9517 3.8256
0.0000 0.0000 0.0000
-2.1697 6.3555 6.2185
-0.3904 3.0345 4.1322
-1.5418 -0.4632 1.8988
-3.3211 2.8578 3.9851
-2.0225 3.2729 6.9866
-1.6890 2.6194 1.1307
```


Look up the DFT total energy of the fourth one.
-5.62 eV per atom


Please write out number 4 again, unchanged.
First-principles (GGA-PBE) data for a geometry-optimized LaSe2F structure, as listed in the Alexandria database.

* energy above the most stable polymorph in this dataset: 29 meV per atom
* raw formation energy: -209.96 kJ per mole of atoms
* space group: P-1
* DFT total energy: -5.62 eV per atom

POSCAR file:
```
LaSe2F
1.0
4.2361 0.0273 0.0027
2.0644 5.5100 -0.0089
2.0572 -0.6790 7.8252
Se La F
4 2 2
Cartesian
3.0990 -0.3904 5.2896
5.2586 5.2488 2.5294
2.1180 0.0137 0.0013
3.1502 2.7687 -0.0031
3.0835 2.7755 5.6327
5.2742 2.0829 2.1862
5.2303 2.0388 4.5829
3.1274 2.8196 3.2361
```